PBE-GGA NdMg6Hg12, relaxed; M_tot = 0.00 μB/atom; ρ = 9.37 g cm⁻³; calculated formation energy = -0.117 eV/atom; space-group type = No. 204; D(E_F) = 9.80 states/eV/f.u.
1.0
-1.775 -4.945 6.722
-4.657 -2.517 -6.690
8.291 -0.653 -1.900
Hg Mg Nd
12 6 1
Cartesian
2.127 -1.841 -1.545 Hg
-1.153 -2.609 -1.471 Hg
-0.268 -6.273 -0.323 Hg
3.606 -5.335 3.494 Hg
5.887 -2.170 -0.412 Hg
1.165 -5.281 -3.207 Hg
-1.747 -2.779 -5.362 Hg
-4.028 -5.944 -1.457 Hg
3.012 -5.505 -0.397 Hg
-1.893 -4.857 3.516 Hg
3.752 -3.257 -5.384 Hg
0.694 -2.833 1.339 Hg
0.826 -2.734 -4.290 Mg
4.071 -3.521 -2.627 Mg
1.033 -5.380 2.422 Mg
-1.959 -4.827 -2.956 Mg
-2.212 -4.593 0.759 Mg
3.818 -3.287 1.087 Mg
0.000 0.000 0.000 Nd